First-principles (PBE) data for a geometry-optimized LiDy4Se5 structure, as listed in OQMD via LeMat-Bulk.

Its energy is -5.524 eV/atom. The value obtained for the mass density is 7.46 g/cm3.

The structure belongs to space group I4 (No. 79); the cell edges are 9.0452, 9.0452 and 5.7196 Å and the angles 90.00°, 90.00° and 90.00°. The asymmetric unit holds Li at (0.0000, 0.0000, 0.0000), Dy at (0.0996, 0.6996, 0.4984), Se at (0.0000, 0.0000, 0.4985) and Se at (0.0959, 0.7087, 0.9984).